TbTmS4 after structural relaxation. Source: OQMD via LeMat-Bulk, functional GGA-PBE.

## Properties
Uncorrected energy   -5.99 eV/atom

Unit cell a=4.8938 b=4.8938 c=7.2143 alpha=94.91 beta=94.91 gamma=52.18
Positions (direct):
S (0.6073, 0.6073, 0.9470)
S (0.3920, 0.3920, 0.0437)
S (0.8628, 0.8628, 0.6604)
S (0.1373, 0.1373, 0.3474)
Tb (0.8236, 0.8236, 0.2793)
Tm (0.1770, 0.1770, 0.7220)

=====

LiHo2Se3 after structural relaxation. Source: OQMD via LeMat-Bulk, functional GGA-PBE.

## Properties
Uncorrected energy   -5.31 eV/atom

Unit cell a=6.9608 b=6.9608 c=6.9608 alpha=146.56 beta=131.73 gamma=59.99
Positions (direct):
Se (0.3387, 0.8387, 0.5000)
Se (0.6613, 0.1613, 0.5000)
Se (0.0000, 0.5000, 0.5000)
Ho (0.1663, 0.1663, 0.0000)
Ho (0.8337, 0.8337, 0.0000)
Li (0.5000, 0.5000, 0.0000)

=====

GdSiHO4 after structural relaxation. Source: OQMD via LeMat-Bulk, functional GGA-PBE.

## Properties
Offset from the most stable computed form   136 meV/atom

Unit cell a=7.5431 b=4.8240 c=4.3419 alpha=90.00 beta=92.22 gamma=90.00
Positions (direct):
H (0.6336, 0.1396, 0.7933)
H (0.1336, 0.8604, 0.2933)
O (0.9984, 0.2812, 0.7447)
O (0.5449, 0.1998, 0.6138)
O (0.4984, 0.7188, 0.2447)
O (0.0449, 0.8002, 0.1138)
O (0.8328, 0.7715, 0.6566)
O (0.3328, 0.2285, 0.1566)
O (0.1986, 0.8681, 0.6054)
O (0.6986, 0.1319, 0.1054)
Si (0.5101, 0.0537, 0.2684)
Si (0.0101, 0.9463, 0.7684)
Gd (0.2804, 0.4174, 0.6772)
Gd (0.7804, 0.5826, 0.1772)

=====

Nb after structural relaxation. Source: OQMD via LeMat-Bulk, functional GGA-PBE.

## Properties
Offset from the most stable computed form   324 meV/atom
Formation energy   0.3 eV/f.u.

Unit cell a=3.2383 b=3.2383 c=4.4234 alpha=111.47 beta=111.47 gamma=60.00
Positions (direct):
Nb (0.2501, 0.2501, 0.7503)
Nb (0.7499, 0.7499, 0.2497)

=====

Calculated values (μB per atom) of magnetic moment for the records, taken in order: 0.00 0.00 0.00 0.00.